VPS2F | PBE+U | optimized geometry

Cell: 4.4332 4.4332 4.6432 Å, 90.00 90.00 90.00°
Fractional positions:
P (0.0000, 0.0000, 0.5000)
S (0.0000, 0.5000, 0.0000)
S (0.5000, 0.0000, 0.0000)
F (0.5000, 0.5000, 0.5000)
V (0.0000, 0.0000, 0.0000)

## Properties
relative energy among the computed polymorphs: 0.0 meV/atom
total moment: 0.00 μB per atom
space-group type: P4/mmm, No. 123